Record 1
## BaCa2Ho (GGA-PBE)

Data for crystalline BaCa2Ho at its relaxed geometry.

Computed properties:
Calculated density = 3.7 Mg/m³
E above lowest polymorph = 0 meV per atom
Volume = 171 Å³ per cell
ΔE_f = 0.1221 eV/atom

a = 4.191 Å, b = 4.191 Å, c = 9.730 Å
α = 90.00°, β = 90.00°, γ = 90.00°
Positions (direct):
Ho1 0.500 0.500 0.000
Ba1 0.500 0.500 0.500
Ca1 0.000 0.000 0.210
Ca2 0.000 0.000 0.790


Record 2
## BaCaHoIn (GGA-PBE)

Data for crystalline BaCaHoIn at its relaxed geometry.

Computed properties:
Calculated density = 5.4 Mg/m³
Volume = 140 Å³ per cell
ΔE_f = -0.0613 eV/atom

a = 5.828 Å, b = 5.828 Å, c = 5.828 Å
α = 60.00°, β = 60.00°, γ = 60.00°
Positions (direct):
In1 0.000 0.000 0.000
Ho1 0.750 0.750 0.750
Ca1 0.500 0.500 0.500
Ba1 0.250 0.250 0.250


Record 3
## BaCaHoMg (GGA-PBE)

Data for crystalline BaCaHoMg at its relaxed geometry.

Computed properties:
Calculated density = 4.1 Mg/m³
Volume = 148 Å³ per cell
ΔE_f = 0.1569 eV/atom

a = 5.937 Å, b = 5.937 Å, c = 5.937 Å
α = 60.00°, β = 60.00°, γ = 60.00°
Positions (direct):
Ca1 0.500 0.500 0.500
Ho1 0.250 0.250 0.250
Ba1 0.750 0.750 0.750
Mg1 0.000 0.000 0.000


Record 4
## Ba2CaHo3O8 (GGA-PBE)

Data for crystalline Ba2CaHo3O8 at its relaxed geometry.

Computed properties:
Calculated density = 6.0 Mg/m³
Volume = 260 Å³ per cell
Uncorrected energy = -7.19 eV/atom

a = 6.982 Å, b = 6.982 Å, c = 7.370 Å
α = 61.73°, β = 61.73°, γ = 60.00°
Site moments in Bohr magnetons follow the coordinates.
Positions (direct):
Ca1 0.894 0.894 0.318  0.00
Ba1 0.126 0.126 0.623  0.01
Ba2 0.499 0.499 0.504  0.02
Ho1 0.499 0.499 0.005  -0.01
Ho2 0.499 0.997 0.005  -0.01
Ho3 0.997 0.499 0.005  -0.01
O1 0.693 0.248 0.812  0.14
O2 0.269 0.269 0.194  0.11
O3 0.248 0.248 0.812  0.14
O4 0.754 0.754 0.206  0.10
O5 0.285 0.754 0.206  0.10
O6 0.754 0.285 0.206  0.10
O7 0.729 0.729 0.814  0.07
O8 0.248 0.693 0.812  0.14


Record 5
## BaCaPrHo (GGA-PBE)

Data for crystalline BaCaPrHo at its relaxed geometry.

Computed properties:
Calculated density = 5.0 Mg/m³
Volume = 161 Å³ per cell
ΔE_f = 0.2028 eV/atom

a = 6.109 Å, b = 6.109 Å, c = 6.109 Å
α = 60.00°, β = 60.00°, γ = 60.00°
Positions (direct):
Ho1 0.000 0.000 0.000
Ca1 0.500 0.500 0.500
Ba1 0.750 0.750 0.750
Pr1 0.250 0.250 0.250


Record 6
## Ba2CaHoSe4 (GGA-PBE)

Data for crystalline Ba2CaHoSe4 at its relaxed geometry.

Computed properties:
Calculated density = 5.5 Mg/m³
Volume = 242 Å³ per cell
Uncorrected energy = -4.98 eV/atom

a = 4.355 Å, b = 7.555 Å, c = 7.764 Å
α = 108.86°, β = 90.00°, γ = 90.00°
Positions (direct):
Ho1 0.500 0.500 0.000
Se1 0.500 0.754 0.785
Se2 0.500 0.246 0.215
Se3 0.000 0.269 0.787
Se4 0.000 0.731 0.213
Ca1 0.000 0.000 0.000
Ba1 0.500 0.000 0.500
Ba2 0.000 0.500 0.500


Record 7
## BaCa3I8 (GGA-PBE)

Data for crystalline BaCa3I8 at its relaxed geometry.

Computed properties:
Calculated density = 3.6 Mg/m³
Volume = 588 Å³ per cell
Uncorrected energy = -3.34 eV/atom

a = 9.446 Å, b = 9.444 Å, c = 9.444 Å
α = 120.82°, β = 90.00°, γ = 120.01°
Positions (direct):
Ca1 0.000 0.500 0.000
Ca2 0.500 0.500 0.000
Ca3 0.500 0.000 0.000
I1 0.741 0.482 0.767
I2 0.741 0.020 0.766
I3 0.259 0.518 0.233
I4 0.743 0.487 0.225
I5 0.279 0.020 0.766
I6 0.257 0.513 0.775
I7 0.721 0.980 0.234
I8 0.259 0.980 0.234
Ba1 0.000 0.000 0.000


Record 8
## BaCa2I6 (GGA-PBE)

Data for crystalline BaCa2I6 at its relaxed geometry.

Computed properties:
Calculated density = 4.0 Mg/m³
E above lowest polymorph = 12 meV per atom
Volume = 821 Å³ per cell

a = 8.752 Å, b = 7.994 Å, c = 14.198 Å
α = 55.70°, β = 90.00°, γ = 90.00°
Positions (direct):
I1 0.072 0.003 0.686
I2 0.071 0.372 0.318
I3 0.445 0.524 0.812
I4 0.280 0.878 0.002
I5 0.444 0.145 0.191
I6 0.555 0.524 0.312
I7 0.929 0.372 0.818
I8 0.720 0.878 0.502
I9 0.204 0.648 0.502
I10 0.928 0.003 0.186
I11 0.556 0.145 0.691
I12 0.796 0.648 0.002
Ba1 0.641 0.048 0.002
Ba2 0.359 0.048 0.502
Ca1 0.240 0.770 0.250
Ca2 0.241 0.266 0.754
Ca3 0.759 0.266 0.254
Ca4 0.760 0.770 0.750


Record 9
## BaCa2I6 (GGA-PBE)

Data for crystalline BaCa2I6 at its relaxed geometry.

Computed properties:
Calculated density = 3.9 Mg/m³
E above lowest polymorph = 15 meV per atom
Volume = 1664 Å³ per cell

a = 7.619 Å, b = 8.911 Å, c = 24.744 Å
α = 82.05°, β = 90.00°, γ = 90.00°
Positions (direct):
Ba1 0.014 0.858 0.414
Ba2 0.514 0.142 0.086
Ba3 0.486 0.858 0.914
Ba4 0.986 0.142 0.586
Ca1 0.442 0.257 0.755
Ca2 0.465 0.606 0.586
Ca3 0.535 0.394 0.414
Ca4 0.035 0.606 0.086
Ca5 0.942 0.743 0.745
Ca6 0.058 0.257 0.255
Ca7 0.965 0.394 0.914
Ca8 0.558 0.743 0.245
I1 0.746 0.115 0.469
I2 0.770 0.821 0.138
I3 0.754 0.115 0.969
I4 0.664 0.327 0.649
I5 0.739 0.596 0.489
I6 0.209 0.009 0.704
I7 0.291 0.009 0.204
I8 0.230 0.179 0.862
I9 0.798 0.483 0.312
I10 0.270 0.179 0.362
I11 0.246 0.885 0.031
I12 0.336 0.673 0.351
I13 0.298 0.517 0.188
I14 0.791 0.991 0.296
I15 0.836 0.327 0.149
I16 0.702 0.483 0.812
I17 0.202 0.517 0.688
I18 0.261 0.404 0.511
I19 0.254 0.885 0.531
I20 0.730 0.821 0.638
I21 0.761 0.596 0.989
I22 0.709 0.991 0.796
I23 0.164 0.673 0.851
I24 0.239 0.404 0.011


Record 10
## BaCaI4 (GGA-PBE)

Data for crystalline BaCaI4 at its relaxed geometry.

Computed properties:
Calculated density = 3.7 Mg/m³
E above lowest polymorph = 24 meV per atom
Volume = 304 Å³ per cell

a = 7.829 Å, b = 7.829 Å, c = 4.955 Å
α = 90.00°, β = 90.00°, γ = 90.10°
Positions (direct):
Ba1 0.003 0.003 0.484
I1 0.319 0.319 0.484
I2 0.687 0.687 0.485
I3 0.218 0.788 0.984
I4 0.788 0.218 0.984
Ca1 0.503 0.503 0.984


Record 11
## BaCaI4 (GGA-PBE)

Data for crystalline BaCaI4 at its relaxed geometry.

Computed properties:
Calculated density = 3.7 Mg/m³
E above lowest polymorph = 0 meV per atom
Volume = 616 Å³ per cell

a = 4.847 Å, b = 10.344 Å, c = 12.950 Å
α = 81.50°, β = 79.21°, γ = 76.45°
Positions (direct):
I1 0.452 0.933 0.663
I2 0.323 0.799 0.056
I3 0.952 0.433 0.163
I4 0.548 0.067 0.337
I5 0.177 0.701 0.444
I6 0.823 0.299 0.556
I7 0.048 0.567 0.837
I8 0.677 0.201 0.944
Ba1 0.250 0.250 0.750
Ba2 0.750 0.750 0.250
Ca1 0.000 0.000 0.500
Ca2 0.500 0.500 0.000


Record 12
## BaCaI4 (GGA-PBE)

Data for crystalline BaCaI4 at its relaxed geometry.

Computed properties:
Calculated density = 4.3 Mg/m³
E above lowest polymorph = 70 meV per atom
Volume = 265 Å³ per cell

a = 5.700 Å, b = 5.697 Å, c = 8.175 Å
α = 90.00°, β = 90.00°, γ = 90.00°
Positions (direct):
I1 0.000 0.004 0.765
I2 0.000 0.004 0.235
I3 0.500 0.504 0.765
I4 0.500 0.504 0.235
Ba1 0.000 0.504 0.500
Ca1 0.500 0.002 0.000